1.
Dy2Th2C3, optimized geometry, DFT GGA-PBE; ΔH_f (0 K) = -0.2837 eV/atom; DOS(E_F) = 4.94 states/eV/cell; raw total energy = -7.672 eV/atom; ΔE to the lowest computed polymorph = 0 meV per atom
1.0
-1.405 -2.472 2.415
-4.086 -1.998 -4.422
5.644 -2.465 -2.122
Dy Th C
2 2 3
Direct
0.860 0.643 0.720
0.140 0.357 0.280
0.622 0.873 0.244
0.378 0.127 0.756
0.000 0.000 0.000
0.745 0.241 0.490
0.255 0.759 0.510

=====

2.
Sb3AsF, optimized geometry, DFT GGA-PBE; DOS(E_F) = 4.12 states/eV/cell; E_form (uncorrected) = 0.14 eV/atom; raw total energy = -3.641 eV/atom; ΔE to the lowest computed polymorph = 0 meV per atom
1.0
-4.774 0.193 1.234
-0.299 -4.910 -0.391
1.213 -0.453 4.762
Sb As F
3 1 1
Direct
0.000 0.500 0.000
0.000 0.000 0.500
0.500 0.000 0.000
0.500 0.500 0.500
0.000 0.000 0.000

=====

3.
TmBi, optimized geometry, DFT GGA-PBE; ΔH_f (0 K) = -0.7809 eV/atom; DOS(E_F) = 0.43 states/eV/cell; raw total energy = -4.957 eV/atom
1.0
4.430 0.000 0.000
2.215 3.837 0.000
2.215 1.279 3.617
Tm Bi
1 1
Direct
0.500 0.500 0.500
0.000 0.000 0.000

=====

4.
AlCu2HgS4, optimized geometry, DFT GGA-PBE; DOS(E_F) = 7.03 states/eV/cell; E_form (uncorrected) = -0.47 eV/atom; raw total energy = -4.065 eV/atom
1.0
5.487 0.228 0.000
-0.228 5.487 0.000
-2.629 -2.857 5.389
Al Cu Hg S
1 2 1 4
Direct
0.500 0.500 0.000
0.750 0.250 0.500
0.250 0.750 0.500
0.000 0.000 0.001
0.593 0.593 0.731
0.407 0.862 0.269
0.862 0.407 0.269
0.138 0.138 0.731